[1]
First-principles (PBE) data for a relaxed CaSiP3 crystal, as listed in the Alexandria database.

Calculated values
Total magnetic moment in μB/atom: 0.00
Formation energy from raw total energies in kJ per mole of atoms: -36.33
Energy relative to the lowest polymorph listed for this composition in eV/f.u.: 0.000
Calculated total energy in eV/atom: -5.11

a b c (Å): 6.808 6.808 6.231
angles (deg): 62.92 62.92 65.69
Element x y z (fractional)
P (0.432, 0.720, 0.493)
P (0.158, 0.158, 0.993)
P (0.335, 0.616, 0.114)
P (0.616, 0.335, 0.114)
P (0.720, 0.432, 0.493)
P (0.847, 0.847, 0.818)
Si (0.890, 0.478, 0.068)
Si (0.478, 0.890, 0.068)
Ca (0.855, 0.855, 0.321)
Ca (0.172, 0.172, 0.516)

***

[2]
First-principles (PBE) data for a relaxed CsLaTeH2 crystal, as listed in the Alexandria database.

Calculated values
Density of states at the Fermi level in states/eV per cell: 0.00
Total magnetic moment in μB/atom: 0.00
Energy relative to the lowest polymorph listed for this composition in eV/f.u.: 0.397
Calculated total energy in eV/atom: -3.89

a b c (Å): 4.238 4.238 8.260
angles (deg): 90.00 90.00 120.00
Element x y z (fractional)
H (0.667, 0.333, 0.878)
H (0.333, 0.667, 0.756)
Cs (0.333, 0.667, 0.142)
Te (0.667, 0.333, 0.465)
La (0.000, 0.000, 0.714)

***

[3]
First-principles (PBE) data for a relaxed ErPu2Pa crystal, as listed in the Alexandria database.

Calculated values
Density of states at the Fermi level in states/eV per cell: 10.41
DFT formation energy in eV per atom: 0.108
Total magnetic moment in μB/atom: 2.71
Energy relative to the lowest polymorph listed for this composition in eV/f.u.: 0.000
Calculated total energy in eV/atom: -10.57

a b c (Å): 3.342 3.342 9.264
angles (deg): 90.00 90.00 90.00
Element x y z (fractional)
Pu (0.000, 0.000, 0.225)
Pu (0.000, 0.000, 0.775)
Pa (0.500, 0.500, 0.000)
Er (0.500, 0.500, 0.500)

***

[4]
First-principles (PBE) data for a relaxed Cr2CdCu crystal, as listed in the Alexandria database.

Calculated values
Density of states at the Fermi level in states/eV per cell: 2.80
DFT formation energy in eV per atom: 0.486
Total magnetic moment in μB/atom: 0.00
Calculated total energy in eV/atom: -5.58

a b c (Å): 4.236 2.640 5.507
angles (deg): 68.30 90.00 90.00
Element x y z (fractional)
Cd (0.500, 0.750, 0.750)
Cu (0.500, 0.250, 0.250)
Cr (0.000, 0.523, 0.444)
Cr (0.000, 0.977, 0.056)

***

[5]
First-principles (PBE) data for a relaxed GaPd5S crystal, as listed in the Alexandria database.

Calculated values
Density of states at the Fermi level in states/eV per cell: 8.81
Total magnetic moment in μB/atom: 0.00
Formation energy from raw total energies in kJ per mole of atoms: -14.60
Calculated total energy in eV/atom: -4.88

a b c (Å): 6.395 6.395 7.802
angles (deg): 61.04 61.04 81.44
Element x y z (fractional)
Pd (0.356, 0.250, 0.660)
Pd (0.750, 0.644, 0.840)
Pd (0.250, 0.356, 0.160)
Pd (0.162, 0.657, 0.478)
Pd (0.343, 0.838, 0.022)
Pd (0.644, 0.750, 0.340)
Pd (0.657, 0.162, 0.978)
Pd (0.176, 0.824, 0.750)
Pd (0.838, 0.343, 0.522)
Pd (0.824, 0.176, 0.250)
S (0.000, 0.000, 0.500)
S (0.000, 0.000, 0.000)
Ga (0.477, 0.523, 0.750)
Ga (0.523, 0.477, 0.250)

***

[6]
First-principles (PBE) data for a relaxed PmAl2CuAu4 crystal, as listed in the Alexandria database.

Calculated values
Density of states at the Fermi level in states/eV per cell: 3.41
DFT formation energy in eV per atom: -0.490
Total magnetic moment in μB/atom: 0.00
Calculated total energy in eV/atom: -4.17

a b c (Å): 4.430 4.430 9.233
angles (deg): 76.12 76.12 60.00
Element x y z (fractional)
Au (0.601, 0.601, 0.196)
Au (0.867, 0.867, 0.398)
Au (0.399, 0.399, 0.804)
Au (0.133, 0.133, 0.602)
Cu (0.500, 0.500, 0.500)
Al (0.238, 0.238, 0.287)
Al (0.762, 0.762, 0.713)
Pm (0.000, 0.000, 0.000)

***

[7]
First-principles (PBE) data for a relaxed AcYBi crystal, as listed in the Alexandria database.

Calculated values
Density of states at the Fermi level in states/eV per cell: 2.37
DFT formation energy in eV per atom: -0.478
Total magnetic moment in μB/atom: 0.35
Energy relative to the lowest polymorph listed for this composition in eV/f.u.: 0.512
Calculated total energy in eV/atom: -5.30

a b c (Å): 4.167 4.167 6.780
angles (deg): 107.90 107.90 90.00
Element x y z (fractional)
Ac (0.623, 0.623, 0.246)
Y (0.921, 0.921, 0.842)
Bi (0.306, 0.306, 0.612)

***

[8]
First-principles (PBE) data for a relaxed ScHgOsRu2 crystal, as listed in the Alexandria database.

Calculated values
Density of states at the Fermi level in states/eV per cell: 8.21
DFT formation energy in eV per atom: 2.275
Total magnetic moment in μB/atom: 0.79
Calculated total energy in eV/atom: -5.01

a b c (Å): 4.842 4.886 4.842
angles (deg): 90.00 90.00 90.00
Element x y z (fractional)
Hg (0.000, 0.000, 0.000)
Sc (0.000, 0.500, 0.000)
Ru (0.500, 0.000, 0.000)
Ru (0.000, 0.000, 0.500)
Os (0.500, 0.500, 0.500)

***

[9]
First-principles (PBE) data for a relaxed YZn2GaCo2 crystal, as listed in the Alexandria database.

Calculated values
Density of states at the Fermi level in states/eV per cell: 3.38
DFT formation energy in eV per atom: 0.022
Total magnetic moment in μB/atom: 0.25
Calculated total energy in eV/atom: -4.35

a b c (Å): 4.377 4.377 5.498
angles (deg): 90.00 90.00 90.00
Element x y z (fractional)
Zn (0.500, 0.500, 0.253)
Zn (0.500, 0.500, 0.747)
Y (0.000, 0.000, 0.500)
Co (0.500, 0.000, 0.000)
Co (0.000, 0.500, 0.000)
Ga (0.000, 0.000, 0.000)

***

[10]
First-principles (PBE) data for a relaxed Mg2Be2H7 crystal, as listed in the Alexandria database.

Calculated values
Density of states at the Fermi level in states/eV per cell: 0.87
Total magnetic moment in μB/atom: 0.00
Calculated total energy in eV/atom: -3.10

a b c (Å): 4.021 4.876 4.876
angles (deg): 94.74 100.19 100.19
Element x y z (fractional)
H (0.742, 0.106, 0.435)
H (0.258, 0.894, 0.565)
H (0.244, 0.355, 0.355)
H (0.756, 0.645, 0.645)
H (0.258, 0.565, 0.894)
H (0.742, 0.435, 0.106)
H (0.000, 0.000, 0.000)
Be (0.100, 0.785, 0.785)
Be (0.900, 0.215, 0.215)
Mg (0.500, 0.281, 0.719)
Mg (0.500, 0.719, 0.281)

***

[11]
First-principles (PBE) data for a relaxed Sc2TlReO8 crystal, as listed in the Alexandria database.

Calculated values
Total magnetic moment in μB/atom: 0.00
Formation energy from raw total energies in kJ per mole of atoms: -207.22
Calculated total energy in eV/atom: -7.74

a b c (Å): 4.780 4.777 6.711
angles (deg): 90.00 90.00 92.05
Element x y z (fractional)
O (0.807, 0.194, 0.800)
O (0.193, 0.806, 0.800)
O (0.710, 0.711, 0.000)
O (0.807, 0.194, 0.200)
O (0.290, 0.289, 0.000)
O (0.193, 0.806, 0.200)
O (0.313, 0.312, 0.500)
O (0.687, 0.688, 0.500)
Sc (0.500, 0.500, 0.753)
Sc (0.500, 0.500, 0.247)
Re (0.000, 0.000, 0.000)
Tl (0.000, 0.000, 0.500)

***

[12]
First-principles (PBE) data for a relaxed LiMnCo2C crystal, as listed in the Alexandria database.

Calculated values
Density of states at the Fermi level in states/eV per cell: 2.86
DFT formation energy in eV per atom: 0.048
Total magnetic moment in μB/atom: 0.79
Calculated total energy in eV/atom: -6.86

a b c (Å): 3.741 3.741 3.863
angles (deg): 90.00 90.00 90.00
Element x y z (fractional)
Li (0.500, 0.500, 0.500)
Mn (0.000, 0.000, 0.500)
C (0.000, 0.000, 0.000)
Co (0.500, 0.000, 0.000)
Co (0.000, 0.500, 0.000)

***

Sequential volume output: 221 128 103 57 243 151 106 115 105 92 153 54 Å³/cell